Record 1
Density functional theory data (PBE) for an optimized crystal structure of LaIn2SnH.

- Total moment: 0.00 μB/cell
- Crystal system: tetragonal
- Volume: 112.9 Å³ per cell
- Total DFT energy (no corrections): -3.867 eV/atom

abc: 4.866 4.866 4.767
angles: 90.00 90.00 90.00
Fractional coordinates of all 5 atoms:
Sn1 0.500 0.500 0.500
H1 0.000 0.000 0.000
La1 0.000 0.000 0.500
In1 0.000 0.500 0.000
In2 0.500 0.000 0.000

---

Record 2
Density functional theory data (PBE) for an optimized crystal structure of Ac5CeSn4.

- Total moment: 1.41 μB/cell
- Crystal system: monoclinic
- Volume: 385.3 Å³ per cell
- Total DFT energy (no corrections): -4.727 eV/atom
- Formation energy: -462 kJ/mol of formula units

abc: 5.677 7.754 11.940
angles: 129.58 103.75 90.00
Last column: magnetic moment on the atom in μB.
Fractional coordinates of all 10 atoms:
Ce1 0.500 0.000 0.000  1.02
Sn1 0.008 0.254 0.015  -0.01
Sn2 0.992 0.746 0.985  -0.01
Ac1 0.164 0.830 0.327  0.00
Ac2 0.834 0.674 0.667  0.02
Sn3 0.674 0.098 0.347  -0.01
Ac3 0.500 0.500 0.000  0.04
Sn4 0.326 0.902 0.653  -0.01
Ac4 0.836 0.170 0.673  0.00
Ac5 0.166 0.326 0.333  0.02

---

Record 3
Density functional theory data (PBE) for an optimized crystal structure of La2Pr3.

- Total moment: 0.00 μB/cell
- Crystal system: triclinic
- Volume: 381.8 Å³ per cell
- ΔE to the lowest computed polymorph: 156 meV/atom
- Total DFT energy (no corrections): -4.674 eV/atom
- Formation energy: 80 kJ/mol of formula units

abc: 12.064 12.059 5.967
angles: 42.04 42.06 50.20
Fractional coordinates of all 10 atoms:
La1 0.674 0.553 0.159
La2 0.326 0.447 0.841
La3 0.947 0.826 0.341
Pr1 0.425 0.734 0.763
Pr2 0.897 0.602 0.251
Pr3 0.103 0.398 0.749
Pr4 0.768 0.076 0.735
Pr5 0.575 0.266 0.237
La4 0.053 0.174 0.659
Pr6 0.232 0.924 0.265

---

Record 4
Density functional theory data (PBE) for an optimized crystal structure of Ag2AsS.

- Total moment: 0.00 μB/cell
- Crystal system: tetragonal
- Volume: 181.8 Å³ per cell
- E_form (uncorrected): 295 meV/atom
- ΔE to the lowest computed polymorph: 189 meV/atom
- Total DFT energy (no corrections): -3.325 eV/atom

abc: 6.462 6.462 6.311
angles: 59.20 59.20 90.00
Fractional coordinates of all 8 atoms:
Ag1 0.135 0.625 0.250
Ag2 0.615 0.125 0.250
As1 0.000 0.000 0.000
S1 0.500 0.500 0.000
Ag3 0.875 0.865 0.750
As2 0.750 0.250 0.500
S2 0.250 0.750 0.500
Ag4 0.375 0.385 0.750

---

Record 5
Density functional theory data (PBE) for an optimized crystal structure of KRbLiBi2.

- Total moment: 0.00 μB/cell
- Crystal system: tetragonal
- Volume: 177.8 Å³ per cell
- Total DFT energy (no corrections): -2.591 eV/atom
- Formation energy: -117 kJ/mol of formula units

abc: 5.474 5.474 5.932
angles: 90.00 90.00 90.00
Fractional coordinates of all 5 atoms:
Rb1 0.500 0.500 0.500
K1 0.000 0.000 0.500
Bi1 0.500 0.000 0.000
Bi2 0.000 0.500 0.000
Li1 0.000 0.000 0.000

---

Record 6
Density functional theory data (PBE) for an optimized crystal structure of TbDy3Te6.

- Total moment: 0.00 μB/cell
- Crystal system: trigonal
- Volume: 734.5 Å³ per cell
- E_form (uncorrected): -1333 meV/atom
- ΔE to the lowest computed polymorph: 43 meV/atom
- Total DFT energy (no corrections): -5.062 eV/atom

abc: 9.023 9.023 9.023
angles: 90.53 90.53 90.53
Fractional coordinates of all 20 atoms:
Te1 0.462 0.591 0.822
Te2 0.088 0.909 0.683
Te3 0.683 0.088 0.909
Dy1 0.082 0.243 0.575
Dy2 0.757 0.425 0.918
Te4 0.909 0.683 0.088
Dy3 0.243 0.575 0.082
Te5 0.317 0.912 0.091
Te6 0.178 0.538 0.409
Dy4 0.425 0.918 0.757
Tb1 0.500 0.500 0.500
Te7 0.591 0.822 0.462
Te8 0.822 0.462 0.591
Te9 0.538 0.409 0.178
Te10 0.409 0.178 0.538
Te11 0.091 0.317 0.912
Dy5 0.918 0.757 0.425
Te12 0.912 0.091 0.317
Dy6 0.575 0.082 0.243
Tb2 0.000 0.000 0.000

---

> Number 3 is which compound?

La2Pr3

---

> Which formula does entry 2 have?

Ac5CeSn4